Material: Sr2GaBiO6
Method: DFT, meta-GGA SCAN
State: single point on PBEsol structure

Unit cell a=5.712 b=5.712 c=5.712 alpha=60.00 beta=60.00 gamma=60.00
Positions (direct):
Sr1 0.250 0.250 0.250
Sr2 0.750 0.750 0.750
Ga1 0.000 0.000 0.000
Bi1 0.500 0.500 0.500
O1 0.242 0.242 0.758
O2 0.242 0.758 0.242
O3 0.242 0.758 0.758
O4 0.758 0.242 0.242
O5 0.758 0.242 0.758
O6 0.758 0.758 0.242

Values from the calculation:
Space-group type: Fm-3m (225)
ΔE_f (raw) in eV/atom: -2.10

***

Material: KMg3CuAs3O12
Method: DFT, meta-GGA SCAN
State: single point on PBEsol structure

Unit cell a=8.823 b=8.823 c=6.781 alpha=105.46 beta=105.46 gamma=92.98
Positions (direct):
K1 0.015 0.985 0.750
K2 0.985 0.015 0.250
Mg1 0.060 0.376 0.628
Mg2 0.257 0.743 0.250
Mg3 0.376 0.060 0.128
Mg4 0.624 0.940 0.872
Mg5 0.743 0.257 0.750
Mg6 0.940 0.624 0.372
Cu1 0.497 0.503 0.750
Cu2 0.503 0.497 0.250
As1 0.121 0.353 0.127
As2 0.285 0.715 0.750
As3 0.353 0.121 0.627
As4 0.647 0.879 0.373
As5 0.715 0.285 0.250
As6 0.879 0.647 0.873
O1 0.010 0.668 0.120
O2 0.027 0.405 0.321
O3 0.174 0.751 0.523
O4 0.175 0.184 0.622
O5 0.184 0.175 0.122
O6 0.249 0.826 0.977
O7 0.276 0.515 0.737
O8 0.277 0.501 0.186
O9 0.332 0.990 0.380
O10 0.405 0.027 0.821
O11 0.485 0.724 0.763
O12 0.499 0.723 0.314
O13 0.501 0.277 0.686
O14 0.515 0.276 0.237
O15 0.595 0.973 0.179
O16 0.668 0.010 0.620
O17 0.723 0.499 0.814
O18 0.724 0.485 0.263
O19 0.751 0.174 0.023
O20 0.816 0.825 0.878
O21 0.825 0.816 0.378
O22 0.826 0.249 0.477
O23 0.973 0.595 0.679
O24 0.990 0.332 0.880

Values from the calculation:
Space-group type: C2/c (15)
ΔE_f (raw) in eV/atom: -2.01

***

Material: Sm2Re3B6
Method: DFT, meta-GGA SCAN
State: single point on PBEsol structure

Unit cell a=6.236 b=6.236 c=7.493 alpha=90.55 beta=90.55 gamma=114.37
Positions (direct):
Sm1 0.057 0.403 0.175
Sm2 0.403 0.057 0.675
Sm3 0.597 0.943 0.325
Sm4 0.943 0.597 0.825
Re1 0.086 0.914 0.250
Re2 0.305 0.489 0.588
Re3 0.489 0.305 0.088
Re4 0.511 0.695 0.912
Re5 0.695 0.511 0.412
Re6 0.914 0.086 0.750
B1 0.058 0.150 0.465
B2 0.088 0.660 0.479
B3 0.150 0.058 0.965
B4 0.254 0.348 0.868
B5 0.340 0.912 0.021
B6 0.348 0.254 0.368
B7 0.652 0.746 0.632
B8 0.660 0.088 0.979
B9 0.746 0.652 0.132
B10 0.850 0.942 0.035
B11 0.912 0.340 0.521
B12 0.942 0.850 0.535

Values from the calculation:
Formation energy from the elements in eV/atom: -0.52
Space-group type: C2/c (15)

***

Material: BaAsAu
Method: DFT, meta-GGA SCAN
State: single point on PBEsol structure

Unit cell a=4.528 b=4.528 c=9.052 alpha=90.00 beta=90.00 gamma=120.00
Positions (direct):
Ba1 0.000 0.000 0.000
Ba2 0.000 0.000 0.500
As1 0.333 0.667 0.250
As2 0.667 0.333 0.750
Au1 0.333 0.667 0.750
Au2 0.667 0.333 0.250

Values from the calculation:
Formation energy from the elements in eV/atom: -1.12
Space-group type: P6_3/mmc (194)

***

Material: In3C
Method: DFT, meta-GGA SCAN
State: single point on PBEsol structure

Unit cell a=4.955 b=9.530 c=3.449 alpha=90.00 beta=90.00 gamma=90.00
Positions (direct):
In1 0.000 0.000 0.000
In2 0.000 0.333 0.500
In3 0.000 0.667 0.500
In4 0.500 0.167 0.500
In5 0.500 0.500 0.000
In6 0.500 0.833 0.500
C1 0.000 0.500 0.000
C2 0.500 0.000 0.000

Values from the calculation:
Formation energy from the elements in eV/atom: 0.73
Space-group type: Cmmm (65)

***

Material: TaW2Cl
Method: DFT, meta-GGA SCAN
State: single point on PBEsol structure

Unit cell a=6.378 b=6.378 c=6.378 alpha=90.00 beta=90.00 gamma=90.00
Positions (direct):
Ta1 0.000 0.000 0.000
Ta2 0.000 0.500 0.500
Ta3 0.500 0.000 0.500
Ta4 0.500 0.500 0.000
W1 0.250 0.250 0.250
W2 0.250 0.250 0.750
W3 0.250 0.750 0.250
W4 0.250 0.750 0.750
W5 0.750 0.250 0.250
W6 0.750 0.250 0.750
W7 0.750 0.750 0.250
W8 0.750 0.750 0.750
Cl1 0.000 0.000 0.500
Cl2 0.000 0.500 0.000
Cl3 0.500 0.000 0.000
Cl4 0.500 0.500 0.500

Values from the calculation:
Energy above the most stable polymorph in this dataset in meV per atom: 807
Space-group type: Fm-3m (225)
ΔE_f (raw) in eV/atom: 1.27

***

Material: Rb2MnGeF
Method: DFT, meta-GGA SCAN
State: single point on PBEsol structure

Unit cell a=6.559 b=6.559 c=4.637 alpha=90.00 beta=90.00 gamma=90.00
Positions (direct):
Rb1 0.000 0.500 0.000
Rb2 0.500 0.000 0.000
Mn1 0.000 0.000 0.500
Ge1 0.000 0.000 0.000
F1 0.500 0.500 0.500

Values from the calculation:
Space-group type: P4/mmm (123)
ΔE_f (raw) in eV/atom: -0.51

***

Material: Cs2SmCuCl6
Method: DFT, meta-GGA SCAN
State: single point on PBEsol structure

Unit cell a=7.314 b=7.314 c=7.314 alpha=60.00 beta=60.00 gamma=60.00
Positions (direct):
Cs1 0.250 0.250 0.250
Cs2 0.750 0.750 0.750
Sm1 0.000 0.000 0.000
Cu1 0.500 0.500 0.500
Cl1 0.258 0.258 0.742
Cl2 0.258 0.742 0.258
Cl3 0.258 0.742 0.742
Cl4 0.742 0.258 0.258
Cl5 0.742 0.258 0.742
Cl6 0.742 0.742 0.258

Values from the calculation:
Space-group type: Fm-3m (225)
ΔE_f (raw) in eV/atom: -2.03

***

no.,DOS at the Fermi energy (states/eV/atom),total magnetic moment (μB per atom)
1,0.163,0.000
2,0.000,0.050
3,0.385,0.000
4,0.052,0.000
5,0.320,0.000
6,1.085,0.000
7,0.262,0.800
8,0.000,0.007